[1]
The following is a meta-GGA SCAN calculation of a crystal of CuBiMo3 relaxed with PBEsol, from Alexandria.

## Properties
- Size of the total moment: 0.00 μB per formula unit
- Symmetry: Pm-3m
- Theoretical density: 9.95 g/cm³
- Formation energy from the elements: 1548 meV/atom

Unit cell a=4.5390 b=4.5390 c=4.5390 alpha=90.00 beta=90.00 gamma=90.00
Element x y z (fractional)
Cu1 0.0000 0.0000 0.0000
Bi1 0.5000 0.5000 0.5000
Mo1 0.0000 0.0000 0.5000
Mo2 0.0000 0.5000 0.0000
Mo3 0.5000 0.0000 0.0000

***

[2]
The following is a meta-GGA SCAN calculation of a crystal of AlSb2Pb relaxed with PBEsol, from Alexandria.

## Properties
- Size of the total moment: 0.00 μB per formula unit
- Symmetry: P2/m
- Formation energy from raw total energies: 0.168 eV/atom
- Theoretical density: 7.95 g/cm³

Unit cell a=3.4229 b=3.6134 c=8.0690 alpha=90.00 beta=90.07 gamma=90.00
Element x y z (fractional)
Al1 0.0000 0.0000 0.0000
Sb1 0.4991 0.5000 0.2088
Sb2 0.5009 0.5000 0.7912
Pb1 0.0000 0.0000 0.5000

***

[3]
The following is a meta-GGA SCAN calculation of a crystal of K2NaHf relaxed with PBEsol, from Alexandria.

## Properties
- Size of the total moment: 3.07 μB per formula unit
- Symmetry: Fm-3m
- Theoretical density: 2.79 g/cm³
- Formation energy from the elements: 1158 meV/atom

Unit cell a=6.1735 b=6.1735 c=6.1735 alpha=60.00 beta=60.00 gamma=60.00
Element x y z (fractional)
K1 0.2500 0.2500 0.2500
K2 0.7500 0.7500 0.7500
Na1 0.0000 0.0000 0.0000
Hf1 0.5000 0.5000 0.5000

***

[4]
The following is a meta-GGA SCAN calculation of a crystal of ReBiAsH2 relaxed with PBEsol, from Alexandria.

## Properties
- Size of the total moment: 0.84 μB per formula unit
- Uncorrected energy: -172.498 eV for the cell shown
- Symmetry: P4/mmm
- Theoretical density: 10.24 g/cm³

Unit cell a=3.6777 b=3.6777 c=5.6602 alpha=90.00 beta=90.00 gamma=90.00
Element x y z (fractional)
Re1 0.0000 0.0000 0.0000
Bi1 0.0000 0.0000 0.5000
As1 0.5000 0.5000 0.0000
H1 0.0000 0.5000 0.5000
H2 0.5000 0.0000 0.5000

***

[5]
The following is a meta-GGA SCAN calculation of a crystal of BAsIrBr2 relaxed with PBEsol, from Alexandria.

## Properties
- Size of the total moment: 0.00 μB per formula unit
- Symmetry: P4/mmm
- Formation energy from raw total energies: 1.291 eV/atom
- Theoretical density: 8.30 g/cm³

Unit cell a=4.5468 b=4.5468 c=4.2372 alpha=90.00 beta=90.00 gamma=90.00
Element x y z (fractional)
B1 0.0000 0.0000 0.0000
As1 0.5000 0.5000 0.5000
Ir1 0.0000 0.0000 0.5000
Br1 0.0000 0.5000 0.0000
Br2 0.5000 0.0000 0.0000

***

[6]
The following is a meta-GGA SCAN calculation of a crystal of Li2YAg relaxed with PBEsol, from Alexandria.

## Properties
- Size of the total moment: 0.01 μB per formula unit
- Symmetry: C2/m
- Theoretical density: 4.21 g/cm³
- Formation energy from the elements: -95 meV/atom

Unit cell a=5.5018 b=5.5018 c=5.0228 alpha=107.41 beta=107.41 gamma=35.10
Element x y z (fractional)
Li1 0.2214 0.2214 0.2016
Li2 0.7786 0.7786 0.7984
Y1 0.0000 0.0000 0.5000
Ag1 0.5000 0.5000 0.0000

***

[7]
The following is a meta-GGA SCAN calculation of a crystal of SiPS2Br relaxed with PBEsol, from Alexandria.

## Properties
- Size of the total moment: 0.00 μB per formula unit
- Symmetry: P4/mmm
- Formation energy from raw total energies: 1.524 eV/atom
- Theoretical density: 3.12 g/cm³

Unit cell a=4.7608 b=4.7608 c=4.7681 alpha=90.00 beta=90.00 gamma=90.00
Element x y z (fractional)
Si1 0.0000 0.0000 0.0000
P1 0.5000 0.5000 0.0000
S1 0.0000 0.5000 0.5000
S2 0.5000 0.0000 0.5000
Br1 0.5000 0.5000 0.5000

***

[8]
The following is a meta-GGA SCAN calculation of a crystal of In2CoTc relaxed with PBEsol, from Alexandria.

## Properties
- Size of the total moment: 0.00 μB per formula unit
- Symmetry: Cm
- Theoretical density: 10.00 g/cm³
- Formation energy from the elements: 337 meV/atom

Unit cell a=5.2932 b=5.2932 c=4.7584 alpha=111.03 beta=111.03 gamma=31.26
Element x y z (fractional)
In1 0.0000 0.0000 0.0000
In2 0.2102 0.2102 0.6168
Co1 0.7514 0.7514 0.1239
Tc1 0.4479 0.4479 0.4674

***

[9]
The following is a meta-GGA SCAN calculation of a crystal of ZrReW2 relaxed with PBEsol, from Alexandria.

## Properties
- Size of the total moment: 0.00 μB per formula unit
- Symmetry: Immm
- Theoretical density: 16.28 g/cm³
- Formation energy from the elements: -84 meV/atom

Unit cell a=5.3534 b=5.3534 c=5.3534 alpha=145.49 beta=130.07 gamma=62.11
Element x y z (fractional)
Zr1 0.0000 0.0000 0.0000
Re1 0.5000 0.5000 0.0000
W1 0.2579 0.7579 0.5000
W2 0.7421 0.2421 0.5000

***

[10]
The following is a meta-GGA SCAN calculation of a crystal of LiBS2N relaxed with PBEsol, from Alexandria.

## Properties
- Size of the total moment: 0.01 μB per formula unit
- Symmetry: P4/mmm
- Formation energy from raw total energies: -0.051 eV/atom
- Theoretical density: 2.38 g/cm³

Unit cell a=5.0154 b=5.0154 c=2.6632 alpha=90.00 beta=90.00 gamma=90.00
Element x y z (fractional)
Li1 0.0000 0.0000 0.0000
B1 0.5000 0.5000 0.5000
S1 0.0000 0.5000 0.5000
S2 0.5000 0.0000 0.5000
N1 0.5000 0.5000 0.0000

***

[11]
The following is a meta-GGA SCAN calculation of a crystal of Li2Fe3F8 relaxed with PBEsol, from Alexandria.

## Properties
- Size of the total moment: 12.00 μB per formula unit
- Symmetry: P2_1/c
- Formation energy from raw total energies: -2.515 eV/atom
- Theoretical density: 3.88 g/cm³

Unit cell a=5.4265 b=11.3103 c=5.2483 alpha=90.00 beta=117.62 gamma=90.00
Element x y z (fractional)
Li1 0.2032 0.0513 0.2992
Li2 0.2032 0.4487 0.7992
Li3 0.7968 0.5513 0.2008
Li4 0.7968 0.9487 0.7008
Fe1 0.1434 0.7030 0.8585
Fe2 0.1434 0.7970 0.3585
Fe3 0.5000 0.0000 0.0000
Fe4 0.5000 0.5000 0.5000
Fe5 0.8566 0.2030 0.6415
Fe6 0.8566 0.2970 0.1415
F1 0.1007 0.1819 0.4305
F2 0.1007 0.3181 0.9305
F3 0.1157 0.0648 0.8873
F4 0.1157 0.4352 0.3873
F5 0.3601 0.6566 0.6067
F6 0.3601 0.8434 0.1067
F7 0.3881 0.5702 0.1068
F8 0.3881 0.9298 0.6068
F9 0.6119 0.0702 0.3932
F10 0.6119 0.4298 0.8932
F11 0.6399 0.1566 0.8933
F12 0.6399 0.3434 0.3933
F13 0.8843 0.5648 0.6127
F14 0.8843 0.9352 0.1127
F15 0.8993 0.6819 0.0695
F16 0.8993 0.8181 0.5695

***

[12]
The following is a meta-GGA SCAN calculation of a crystal of SiTe2W relaxed with PBEsol, from Alexandria.

## Properties
- Size of the total moment: 0.00 μB per formula unit
- Symmetry: P4mm
- Formation energy from raw total energies: 0.219 eV/atom
- Theoretical density: 9.34 g/cm³

Unit cell a=3.3015 b=3.3015 c=7.6224 alpha=90.00 beta=90.00 gamma=90.00
Element x y z (fractional)
Si1 0.0000 0.0000 0.0000
Te1 0.0000 0.0000 0.6213
Te2 0.5000 0.5000 0.2154
W1 0.5000 0.5000 0.8459

***

[13]
The following is a meta-GGA SCAN calculation of a crystal of Cl relaxed with PBEsol, from Alexandria.

## Properties
- Size of the total moment: 0.00 μB per formula unit
- Symmetry: P6_3/mmc
- Formation energy from raw total energies: 0.031 eV/atom
- Theoretical density: 1.98 g/cm³

Unit cell a=3.9506 b=3.9506 c=8.7981 alpha=90.00 beta=90.00 gamma=120.00
Element x y z (fractional)
Cl1 0.3333 0.6667 0.1366
Cl2 0.3333 0.6667 0.3634
Cl3 0.6667 0.3333 0.6366
Cl4 0.6667 0.3333 0.8634

***

[14]
The following is a meta-GGA SCAN calculation of a crystal of KHg2Mo relaxed with PBEsol, from Alexandria.

## Properties
- Size of the total moment: 0.94 μB per formula unit
- Symmetry: P4/mmm
- Theoretical density: 10.73 g/cm³
- Formation energy from the elements: 466 meV/atom

Unit cell a=5.3681 b=5.3681 c=2.8809 alpha=90.00 beta=90.00 gamma=90.00
Element x y z (fractional)
K1 0.0000 0.0000 0.0000
Hg1 0.0000 0.5000 0.5000
Hg2 0.5000 0.0000 0.5000
Mo1 0.5000 0.5000 0.0000

***

[15]
The following is a meta-GGA SCAN calculation of a crystal of La2CoSb relaxed with PBEsol, from Alexandria.

## Properties
- Size of the total moment: 0.72 μB per formula unit
- Symmetry: Cmmm
- Formation energy from raw total energies: -0.423 eV/atom
- Theoretical density: 7.78 g/cm³

Unit cell a=3.5258 b=3.5258 c=7.9514 alpha=90.00 beta=90.00 gamma=97.90
Element x y z (fractional)
La1 0.0000 0.0000 0.2074
La2 0.0000 0.0000 0.7926
Co1 0.5000 0.5000 0.0000
Sb1 0.5000 0.5000 0.5000

***

[16]
The following is a meta-GGA SCAN calculation of a crystal of HgMo3Pt relaxed with PBEsol, from Alexandria.

## Properties
- Size of the total moment: 0.01 μB per formula unit
- Symmetry: Pm-3m
- Theoretical density: 10.39 g/cm³
- Formation energy from the elements: 2817 meV/atom

Unit cell a=4.7807 b=4.7807 c=4.7807 alpha=90.00 beta=90.00 gamma=90.00
Element x y z (fractional)
Hg1 0.0000 0.0000 0.0000
Mo1 0.0000 0.0000 0.5000
Mo2 0.0000 0.5000 0.0000
Mo3 0.5000 0.0000 0.0000
Pt1 0.5000 0.5000 0.5000

***

[17]
The following is a meta-GGA SCAN calculation of a crystal of LiTcAs relaxed with PBEsol, from Alexandria.

## Properties
- Size of the total moment: 0.00 μB per formula unit
- Symmetry: F-43m
- Theoretical density: 6.36 g/cm³
- Formation energy from the elements: 156 meV/atom

Unit cell a=4.0492 b=4.0492 c=4.0492 alpha=60.00 beta=60.00 gamma=60.00
Element x y z (fractional)
Li1 0.0000 0.0000 0.0000
Tc1 0.7500 0.7500 0.7500
As1 0.5000 0.5000 0.5000

***

[18]
The following is a meta-GGA SCAN calculation of a crystal of Y2Zr relaxed with PBEsol, from Alexandria.

## Properties
- Size of the total moment: 0.99 μB per formula unit
- Symmetry: P-62m
- Theoretical density: 5.47 g/cm³
- Formation energy from the elements: 105 meV/atom

Unit cell a=9.1214 b=9.1214 c=3.4003 alpha=90.00 beta=90.00 gamma=120.00
Element x y z (fractional)
Y1 0.0000 0.2994 0.0000
Y2 0.0000 0.6358 0.5000
Y3 0.2994 0.0000 0.0000
Y4 0.3642 0.3642 0.5000
Y5 0.6358 0.0000 0.5000
Y6 0.7006 0.7006 0.0000
Zr1 0.0000 0.0000 0.5000
Zr2 0.3333 0.6667 0.0000
Zr3 0.6667 0.3333 0.0000

***

[19]
The following is a meta-GGA SCAN calculation of a crystal of HgPSe3 relaxed with PBEsol, from Alexandria.

## Properties
- Size of the total moment: 0.00 μB per formula unit
- Symmetry: Pm-3m
- Formation energy from raw total energies: 0.460 eV/atom
- Theoretical density: 7.03 g/cm³

Unit cell a=4.8017 b=4.8017 c=4.8017 alpha=90.00 beta=90.00 gamma=90.00
Element x y z (fractional)
Hg1 0.0000 0.0000 0.0000
P1 0.5000 0.5000 0.5000
Se1 0.0000 0.5000 0.5000
Se2 0.5000 0.0000 0.5000
Se3 0.5000 0.5000 0.0000

***

[20]
The following is a meta-GGA SCAN calculation of a crystal of MnAlTl2 relaxed with PBEsol, from Alexandria.

## Properties
- Size of the total moment: 4.45 μB per formula unit
- Symmetry: F-43m
- Theoretical density: 9.26 g/cm³
- Formation energy from the elements: 376 meV/atom

Unit cell a=4.9921 b=4.9921 c=4.9921 alpha=60.00 beta=60.00 gamma=60.00
Element x y z (fractional)
Mn1 0.0000 0.0000 0.0000
Al1 0.2500 0.2500 0.2500
Tl1 0.5000 0.5000 0.5000
Tl2 0.7500 0.7500 0.7500

***

[21]
The following is a meta-GGA SCAN calculation of a crystal of GdPb3 relaxed with PBEsol, from Alexandria.

## Properties
- Size of the total moment: 7.23 μB per formula unit
- Symmetry: Pm-3m
- Theoretical density: 11.75 g/cm³
- Formation energy from the elements: -427 meV/atom

Unit cell a=4.7927 b=4.7927 c=4.7927 alpha=90.00 beta=90.00 gamma=90.00
Element x y z (fractional)
Gd1 0.0000 0.0000 0.0000
Pb1 0.0000 0.5000 0.5000
Pb2 0.5000 0.0000 0.5000
Pb3 0.5000 0.5000 0.0000

***

[22]
The following is a meta-GGA SCAN calculation of a crystal of Cs2MnBi2S5 relaxed with PBEsol, from Alexandria.

## Properties
- Size of the total moment: 5.00 μB per formula unit
- Symmetry: Pnma
- Formation energy from raw total energies: -0.908 eV/atom
- Theoretical density: 5.11 g/cm³

Unit cell a=15.7228 b=4.1133 c=18.0717 alpha=90.00 beta=90.00 gamma=90.00
Element x y z (fractional)
Cs1 0.0062 0.2500 0.1227
Cs2 0.0363 0.7500 0.3819
Cs3 0.4637 0.2500 0.8819
Cs4 0.4938 0.7500 0.6227
Cs5 0.5062 0.2500 0.3773
Cs6 0.5363 0.7500 0.1181
Cs7 0.9637 0.2500 0.6181
Cs8 0.9938 0.7500 0.8773
Mn1 0.2081 0.2500 0.8554
Mn2 0.2919 0.7500 0.3554
Mn3 0.7081 0.2500 0.6446
Mn4 0.7919 0.7500 0.1446
Bi1 0.2103 0.7500 0.6986
Bi2 0.2485 0.7500 0.0156
Bi3 0.2515 0.2500 0.5156
Bi4 0.2897 0.2500 0.1986
Bi5 0.7103 0.7500 0.8014
Bi6 0.7485 0.7500 0.4844
Bi7 0.7515 0.2500 0.9844
Bi8 0.7897 0.2500 0.3014
S1 0.1079 0.2500 0.7574
S2 0.1350 0.7500 0.5613
S3 0.1391 0.2500 0.9714
S4 0.1800 0.7500 0.1500
S5 0.2111 0.2500 0.3465
S6 0.2889 0.7500 0.8465
S7 0.3200 0.2500 0.6500
S8 0.3609 0.7500 0.4714
S9 0.3650 0.2500 0.0613
S10 0.3921 0.7500 0.2574
S11 0.6079 0.2500 0.7426
S12 0.6350 0.7500 0.9387
S13 0.6391 0.2500 0.5286
S14 0.6800 0.7500 0.3500
S15 0.7111 0.2500 0.1535
S16 0.7889 0.7500 0.6535
S17 0.8200 0.2500 0.8500
S18 0.8609 0.7500 0.0286
S19 0.8650 0.2500 0.4387
S20 0.8921 0.7500 0.2426

***

[23]
The following is a meta-GGA SCAN calculation of a crystal of RuRhPb3 relaxed with PBEsol, from Alexandria.

## Properties
- Size of the total moment: 1.37 μB per formula unit
- Symmetry: Pm-3m
- Theoretical density: 10.35 g/cm³
- Formation energy from the elements: 896 meV/atom

Unit cell a=5.0982 b=5.0982 c=5.0982 alpha=90.00 beta=90.00 gamma=90.00
Element x y z (fractional)
Ru1 0.0000 0.0000 0.0000
Rh1 0.5000 0.5000 0.5000
Pb1 0.0000 0.5000 0.5000
Pb2 0.5000 0.0000 0.5000
Pb3 0.5000 0.5000 0.0000

***

[24]
The following is a meta-GGA SCAN calculation of a crystal of Sc2TaMoSe relaxed with PBEsol, from Alexandria.

## Properties
- Size of the total moment: 0.20 μB per formula unit
- Symmetry: P4/mmm
- Formation energy from raw total energies: 0.434 eV/atom
- Theoretical density: 7.07 g/cm³

Unit cell a=4.7717 b=4.7717 c=4.6011 alpha=90.00 beta=90.00 gamma=90.00
Element x y z (fractional)
Sc1 0.0000 0.5000 0.0000
Sc2 0.5000 0.0000 0.0000
Ta1 0.0000 0.0000 0.5000
Mo1 0.5000 0.5000 0.5000
Se1 0.5000 0.5000 0.0000

***

[25]
The following is a meta-GGA SCAN calculation of a crystal of Y2MoBr relaxed with PBEsol, from Alexandria.

## Properties
- Size of the total moment: 0.00 μB per formula unit
- Symmetry: Fm-3m
- Formation energy from raw total energies: 0.233 eV/atom
- Theoretical density: 6.61 g/cm³

Unit cell a=5.0083 b=5.0083 c=5.0083 alpha=60.00 beta=60.00 gamma=60.00
Element x y z (fractional)
Y1 0.2500 0.2500 0.2500
Y2 0.7500 0.7500 0.7500
Mo1 0.0000 0.0000 0.0000
Br1 0.5000 0.5000 0.5000

***

[26]
The following is a meta-GGA SCAN calculation of a crystal of RbCeSe2 relaxed with PBEsol, from Alexandria.

## Properties
- Size of the total moment: 1.00 μB per formula unit
- Symmetry: R-3m
- Formation energy from raw total energies: -1.954 eV/atom
- Theoretical density: 5.02 g/cm³

Unit cell a=8.2468 b=8.2468 c=8.2468 alpha=30.34 beta=30.34 gamma=30.34
Element x y z (fractional)
Rb1 0.0000 0.0000 0.0000
Ce1 0.5000 0.5000 0.5000
Se1 0.2336 0.2336 0.2336
Se2 0.7664 0.7664 0.7664